--- A ---
VASP calculation (GGA-PBE) on an optimized crystal structure of BaGe2Mo.

POSCAR file:
```
BaGe2Mo
1.0
7.136 0.000 0.000
0.000 7.136 0.000
0.000 0.000 7.136
Ba Ge Mo
4 8 4
direct
0.000 0.000 0.000
0.000 0.500 0.500
0.500 0.000 0.500
0.500 0.500 0.000
0.250 0.250 0.250
0.250 0.250 0.750
0.250 0.750 0.250
0.250 0.750 0.750
0.750 0.250 0.250
0.750 0.250 0.750
0.750 0.750 0.250
0.750 0.750 0.750
0.000 0.000 0.500
0.000 0.500 0.000
0.500 0.000 0.000
0.500 0.500 0.500
```

Space-group type ... Fm-3m, No. 225
ρ ... 6.9 Mg/m³
Total magnetic moment ... 7.8 Bohr magnetons per cell

---

--- B ---
VASP calculation (GGA-PBE) on an optimized crystal structure of BaGe2Mo.

POSCAR file:
```
BaGe2Mo
1.0
5.602 0.000 0.000
0.000 5.602 0.000
0.000 0.000 15.896
Ba Ge Mo
4 8 4
direct
0.000 0.250 0.375
0.000 0.750 0.625
0.500 0.250 0.125
0.500 0.750 0.875
0.000 0.000 0.000
0.000 0.500 0.000
0.250 0.250 0.750
0.250 0.750 0.250
0.500 0.000 0.500
0.500 0.500 0.500
0.750 0.250 0.750
0.750 0.750 0.250
0.000 0.250 0.875
0.000 0.750 0.125
0.500 0.250 0.625
0.500 0.750 0.375
```

Space-group type ... I4_1/amd, No. 141
ρ ... 5.0 Mg/m³
Total magnetic moment ... 0.0 Bohr magnetons per cell

---

Order of stability, best first: B, A

---

--- A ---
VASP calculation (GGA-PBE) on an optimized crystal structure of BaGeS2N.

POSCAR file:
```
BaGeS2N
1.0
5.830 0.000 0.000
0.000 5.830 0.000
0.000 0.000 5.043
Ba Ge S N
1 1 2 1
direct
0.000 0.000 0.000
0.500 0.500 0.500
0.000 0.500 0.000
0.500 0.000 0.000
0.000 0.000 0.500
```

Space-group type ... P4/mmm, No. 123
ρ ... 2.8 Mg/m³
Total magnetic moment ... 2.6 Bohr magnetons per cell

---

--- B ---
VASP calculation (GGA-PBE) on an optimized crystal structure of BaGeS2N.

POSCAR file:
```
BaGeS2N
1.0
5.053 0.000 0.000
0.000 5.053 0.000
0.000 0.000 3.976
Ba Ge S N
1 1 2 1
direct
0.000 0.000 0.000
0.500 0.500 0.500
0.000 0.500 0.500
0.500 0.000 0.500
0.500 0.500 0.000
```

Space-group type ... P4/mmm, No. 123
ρ ... 4.7 Mg/m³
Total magnetic moment ... 1.3 Bohr magnetons per cell

---

Order of stability, best first: B, A

---

--- A ---
VASP calculation (GGA-PBE) on an optimized crystal structure of BaGeTe2N.

POSCAR file:
```
BaGeTe2N
1.0
6.026 0.000 0.000
0.000 6.026 0.000
0.000 0.000 3.720
Ba Ge Te N
1 1 2 1
direct
0.000 0.000 0.000
0.500 0.500 0.500
0.000 0.500 0.500
0.500 0.000 0.500
0.500 0.500 0.000
```

Space-group type ... P4/mmm, No. 123
ρ ... 5.9 Mg/m³
Total magnetic moment ... 0.0 Bohr magnetons per cell

---

--- B ---
VASP calculation (GGA-PBE) on an optimized crystal structure of BaGeTe2N.

POSCAR file:
```
BaGeTe2N
1.0
6.502 0.000 0.000
0.000 6.502 0.000
0.000 0.000 4.357
Ba Ge Te N
1 1 2 1
direct
0.000 0.000 0.000
0.500 0.500 0.500
0.000 0.500 0.000
0.500 0.000 0.000
0.000 0.000 0.500
```

Space-group type ... P4/mmm, No. 123
ρ ... 4.3 Mg/m³
Total magnetic moment ... 0.0 Bohr magnetons per cell

---

Order of stability, best first: A, B

---

--- A ---
VASP calculation (GGA-PBE) on an optimized crystal structure of BaNaGe2.

POSCAR file:
```
BaNaGe2
1.0
7.678 0.000 0.000
0.000 7.678 0.000
0.000 0.000 7.678
Ba Na Ge
4 4 8
direct
0.000 0.000 0.000
0.000 0.500 0.500
0.500 0.000 0.500
0.500 0.500 0.000
0.000 0.000 0.500
0.000 0.500 0.000
0.500 0.000 0.000
0.500 0.500 0.500
0.250 0.250 0.250
0.250 0.250 0.750
0.250 0.750 0.250
0.250 0.750 0.750
0.750 0.250 0.250
0.750 0.250 0.750
0.750 0.750 0.250
0.750 0.750 0.750
```

Space-group type ... Fm-3m, No. 225
ρ ... 4.5 Mg/m³
Total magnetic moment ... 0.0 Bohr magnetons per cell

---

--- B ---
VASP calculation (GGA-PBE) on an optimized crystal structure of BaNaGe2.

POSCAR file:
```
BaNaGe2
1.0
5.125 0.000 0.000
0.000 5.125 0.000
0.000 0.000 19.686
Ba Na Ge
4 4 8
direct
0.000 0.000 0.000
0.000 0.500 0.250
0.500 0.000 0.750
0.500 0.500 0.500
0.000 0.000 0.500
0.000 0.500 0.750
0.500 0.000 0.250
0.500 0.500 0.000
0.061 0.250 0.625
0.250 0.561 0.875
0.250 0.939 0.375
0.439 0.250 0.125
0.561 0.750 0.125
0.750 0.061 0.375
0.750 0.439 0.875
0.939 0.750 0.625
```

Space-group type ... I-42d, No. 122
ρ ... 3.9 Mg/m³
Total magnetic moment ... 0.0 Bohr magnetons per cell

---

--- C ---
VASP calculation (GGA-PBE) on an optimized crystal structure of BaNaGe2.

POSCAR file:
```
BaNaGe2
1.0
9.190 0.000 0.000
0.000 4.141 0.000
0.000 0.000 12.154
Ba Na Ge
4 4 8
direct
0.129 0.250 0.135
0.371 0.750 0.635
0.629 0.250 0.365
0.871 0.750 0.865
0.000 0.250 0.610
0.000 0.750 0.390
0.500 0.250 0.890
0.500 0.750 0.110
0.168 0.250 0.827
0.246 0.250 0.431
0.254 0.750 0.931
0.332 0.750 0.327
0.668 0.250 0.673
0.746 0.250 0.069
0.754 0.750 0.569
0.832 0.750 0.173
```

Space-group type ... Pnma, No. 62
ρ ... 4.4 Mg/m³
Total magnetic moment ... 0.0 Bohr magnetons per cell

---

Order of stability, best first: C, A, B

---

--- A ---
VASP calculation (GGA-PBE) on an optimized crystal structure of BaNa2Ge2.

POSCAR file:
```
BaNa2Ge2
1.0
8.120 0.000 0.000
0.000 8.120 0.000
0.000 0.000 4.878
Ba Na Ge
2 4 4
direct
0.000 0.000 0.000
0.500 0.500 0.000
0.155 0.345 0.500
0.345 0.845 0.500
0.655 0.155 0.500
0.845 0.655 0.500
0.104 0.604 0.000
0.396 0.104 0.000
0.604 0.896 0.000
0.896 0.396 0.000
```

Space-group type ... P4/mbm, No. 127
ρ ... 3.4 Mg/m³
Total magnetic moment ... 0.3 Bohr magnetons per cell

---

--- B ---
VASP calculation (GGA-PBE) on an optimized crystal structure of BaNa2Ge2.

POSCAR file:
```
BaNa2Ge2
1.0
8.995 0.000 0.000
0.000 8.995 0.000
0.000 0.000 3.254
Ba Na Ge
2 4 4
direct
0.000 0.000 0.000
0.500 0.500 0.000
0.116 0.384 0.000
0.384 0.884 0.000
0.616 0.116 0.000
0.884 0.616 0.000
0.181 0.681 0.500
0.319 0.181 0.500
0.681 0.819 0.500
0.819 0.319 0.500
```

Space-group type ... P4/mbm, No. 127
ρ ... 4.1 Mg/m³
Total magnetic moment ... 0.0 Bohr magnetons per cell

---

Order of stability, best first: A, B

---

--- A ---
VASP calculation (GGA-PBE) on an optimized crystal structure of BaNa2Ge2.

POSCAR file:
```
BaNa2Ge2
1.0
-2.340 2.465 13.245
2.340 -2.465 13.245
2.340 2.465 -13.245
Ba Na Ge
2 4 4
direct
0.428 0.178 0.250
0.572 0.822 0.750
0.192 0.942 0.250
0.309 0.559 0.750
0.691 0.441 0.250
0.808 0.058 0.750
0.026 0.276 0.750
0.118 0.368 0.750
0.882 0.632 0.250
0.974 0.724 0.250
```

Space-group type ... Imma, No. 74
ρ ... 3.6 Mg/m³
Total magnetic moment ... 0.0 Bohr magnetons per cell

---

--- B ---
VASP calculation (GGA-PBE) on an optimized crystal structure of BaNa2Ge2.

POSCAR file:
```
BaNa2Ge2
1.0
4.789 0.000 0.000
0.000 4.789 0.000
0.000 0.000 12.910
Ba Na Ge
2 4 4
direct
0.000 0.000 0.000
0.500 0.500 0.500
0.000 0.500 0.250
0.000 0.500 0.750
0.500 0.000 0.250
0.500 0.000 0.750
0.000 0.000 0.407
0.000 0.000 0.593
0.500 0.500 0.093
0.500 0.500 0.907
```

Space-group type ... I4/mmm, No. 139
ρ ... 3.7 Mg/m³
Total magnetic moment ... 0.0 Bohr magnetons per cell

---

Order of stability, best first: B, A

---

--- A ---
VASP calculation (GGA-PBE) on an optimized crystal structure of BaNaGe4.

POSCAR file:
```
BaNaGe4
1.0
4.215 0.000 0.000
0.000 7.584 0.000
0.000 0.000 10.111
Ba Na Ge
2 2 8
direct
0.000 0.000 0.000
0.500 0.500 0.500
0.000 0.000 0.500
0.500 0.500 0.000
0.000 0.333 0.210
0.000 0.333 0.790
0.000 0.667 0.210
0.000 0.667 0.790
0.500 0.167 0.290
0.500 0.167 0.710
0.500 0.833 0.290
0.500 0.833 0.710
```

Space-group type ... Immm, No. 71
ρ ... 4.6 Mg/m³
Total magnetic moment ... 0.0 Bohr magnetons per cell

---

--- B ---
VASP calculation (GGA-PBE) on an optimized crystal structure of BaNaGe4.

POSCAR file:
```
BaNaGe4
1.0
4.401 0.000 0.000
0.000 4.846 0.000
0.000 0.000 7.750
Ba Na Ge
1 1 4
direct
0.000 0.000 0.000
0.500 0.000 0.500
0.000 0.500 0.341
0.000 0.500 0.659
0.500 0.500 0.171
0.500 0.500 0.829
```

Space-group type ... Pmmm, No. 47
ρ ... 4.5 Mg/m³
Total magnetic moment ... 0.0 Bohr magnetons per cell

---

--- C ---
VASP calculation (GGA-PBE) on an optimized crystal structure of BaNaGe4.

POSCAR file:
```
BaNaGe4
1.0
0.000 4.188 4.188
4.188 0.000 4.188
4.188 4.188 0.000
Ba Na Ge
1 1 4
direct
0.000 0.000 0.000
0.250 0.250 0.250
0.147 0.618 0.618
0.618 0.147 0.618
0.618 0.618 0.147
0.618 0.618 0.618
```

Space-group type ... F-43m, No. 216
ρ ... 5.1 Mg/m³
Total magnetic moment ... 0.0 Bohr magnetons per cell

---

Order of stability, best first: B, A, C

---

--- A ---
VASP calculation (GGA-PBE) on an optimized crystal structure of BaNbGe3.

POSCAR file:
```
BaNbGe3
1.0
5.091 0.000 0.000
0.000 5.091 0.000
0.000 0.000 5.091
Ba Nb Ge
1 1 3
direct
0.000 0.000 0.000
0.500 0.500 0.500
0.000 0.500 0.500
0.500 0.000 0.500
0.500 0.500 0.000
```

Space-group type ... Pm-3m, No. 221
ρ ... 5.6 Mg/m³
Total magnetic moment ... 0.0 Bohr magnetons per cell

---

--- B ---
VASP calculation (GGA-PBE) on an optimized crystal structure of BaNbGe3.

POSCAR file:
```
BaNbGe3
1.0
5.462 0.000 0.000
0.000 5.462 0.000
0.000 0.000 5.462
Ba Nb Ge
1 1 3
direct
0.000 0.000 0.000
0.500 0.500 0.500
0.000 0.000 0.500
0.000 0.500 0.000
0.500 0.000 0.000
```

Space-group type ... Pm-3m, No. 221
ρ ... 4.6 Mg/m³
Total magnetic moment ... 0.1 Bohr magnetons per cell

---

Order of stability, best first: A, B

---

--- A ---
VASP calculation (GGA-PBE) on an optimized crystal structure of BaNbGe2.

POSCAR file:
```
BaNbGe2
1.0
5.575 0.000 0.000
0.000 5.575 0.000
0.000 0.000 16.841
Ba Nb Ge
4 4 8
direct
0.000 0.250 0.375
0.000 0.750 0.625
0.500 0.250 0.125
0.500 0.750 0.875
0.000 0.250 0.875
0.000 0.750 0.125
0.500 0.250 0.625
0.500 0.750 0.375
0.000 0.000 0.000
0.000 0.500 0.000
0.250 0.250 0.750
0.250 0.750 0.250
0.500 0.000 0.500
0.500 0.500 0.500
0.750 0.250 0.750
0.750 0.750 0.250
```

Space-group type ... I4_1/amd, No. 141
ρ ... 4.8 Mg/m³
Total magnetic moment ... 0.0 Bohr magnetons per cell

---

--- B ---
VASP calculation (GGA-PBE) on an optimized crystal structure of BaNbGe2.

POSCAR file:
```
BaNbGe2
1.0
7.249 0.000 0.000
0.000 7.249 0.000
0.000 0.000 7.249
Ba Nb Ge
4 4 8
direct
0.000 0.000 0.000
0.000 0.500 0.500
0.500 0.000 0.500
0.500 0.500 0.000
0.000 0.000 0.500
0.000 0.500 0.000
0.500 0.000 0.000
0.500 0.500 0.500
0.250 0.250 0.250
0.250 0.250 0.750
0.250 0.750 0.250
0.250 0.750 0.750
0.750 0.250 0.250
0.750 0.250 0.750
0.750 0.750 0.250
0.750 0.750 0.750
```

Space-group type ... Fm-3m, No. 225
ρ ... 6.5 Mg/m³
Total magnetic moment ... 9.2 Bohr magnetons per cell

---

Order of stability, best first: A, B

---

--- A ---
VASP calculation (GGA-PBE) on an optimized crystal structure of BaNd2Ge.

POSCAR file:
```
BaNd2Ge
1.0
4.293 0.000 0.000
-2.146 3.718 0.000
0.000 0.000 30.256
Ba Nd Ge
3 6 3
direct
0.000 0.000 0.000
0.333 0.667 0.667
0.667 0.333 0.333
0.000 0.000 0.552
0.000 0.000 0.779
0.333 0.667 0.218
0.333 0.667 0.445
0.667 0.333 0.112
0.667 0.333 0.885
0.000 0.000 0.164
0.333 0.667 0.831
0.667 0.333 0.498
```

Space-group type ... R3m, No. 160
ρ ... 5.1 Mg/m³
Total magnetic moment ... 2.8 Bohr magnetons per cell

---

--- B ---
VASP calculation (GGA-PBE) on an optimized crystal structure of BaNd2Ge.

POSCAR file:
```
BaNd2Ge
1.0
4.167 0.000 0.000
-2.084 3.609 0.000
0.000 0.000 33.143
Ba Nd Ge
3 6 3
direct
0.000 0.000 0.000
0.333 0.667 0.667
0.667 0.333 0.333
0.000 0.000 0.116
0.000 0.000 0.884
0.333 0.667 0.551
0.333 0.667 0.783
0.667 0.333 0.217
0.667 0.333 0.449
0.000 0.000 0.500
0.333 0.667 0.167
0.667 0.333 0.833
```

Space-group type ... R-3m, No. 166
ρ ... 5.0 Mg/m³
Total magnetic moment ... 0.0 Bohr magnetons per cell

---

Order of stability, best first: A, B

---

--- A ---
VASP calculation (GGA-PBE) on an optimized crystal structure of BaNi3Ge.

POSCAR file:
```
BaNi3Ge
1.0
4.615 0.000 0.000
0.000 4.615 0.000
0.000 0.000 4.615
Ba Ni Ge
1 3 1
direct
0.000 0.000 0.000
0.000 0.500 0.500
0.500 0.000 0.500
0.500 0.500 0.000
0.500 0.500 0.500
```

Space-group type ... Pm-3m, No. 221
ρ ... 6.5 Mg/m³
Total magnetic moment ... 1.1 Bohr magnetons per cell

---

--- B ---
VASP calculation (GGA-PBE) on an optimized crystal structure of BaNi3Ge.

POSCAR file:
```
BaNi3Ge
1.0
4.915 0.000 0.000
0.000 4.915 0.000
0.000 0.000 4.915
Ba Ni Ge
1 3 1
direct
0.000 0.000 0.000
0.000 0.000 0.500
0.000 0.500 0.000
0.500 0.000 0.000
0.500 0.500 0.500
```

Space-group type ... Pm-3m, No. 221
ρ ... 5.4 Mg/m³
Total magnetic moment ... 0.0 Bohr magnetons per cell

---

Order of stability, best first: A, B